one) ## Pu2CuC (PBE)

Data for crystalline Pu2CuC at its relaxed geometry.

Calculated values
For the density of states at the Fermi level, the calculation gives 2.0916 states/eV per atom.

The structure in POSCAR format:
```
Pu2CuC
1.0
-0.412 -0.495 -3.037
-0.116 -3.060 0.514
-7.006 0.414 0.882
Cu Pu C
1 2 1
direct
0.500 0.500 0.500 Cu
0.000 0.000 0.197 Pu
0.000 0.000 0.803 Pu
0.500 0.500 0.000 C
```

---

two) ## Pu2CuC (PBE)

Data for crystalline Pu2CuC at its relaxed geometry.

Calculated values
For the density of states at the Fermi level, the calculation gives 3.4080 states/eV per atom.

The structure in POSCAR format:
```
Pu2CuC
1.0
-0.408 1.944 -2.768
1.025 -1.135 -3.045
-6.603 -2.797 -3.087
Cu Pu C
1 2 1
direct
0.500 0.500 0.500 Cu
0.731 0.731 0.807 Pu
0.269 0.269 0.193 Pu
0.000 0.000 0.000 C
```

---

Compare the structures above. Which one is the most stable? two) is.